(1)
The following is a DFT calculation (PBE) of a geometry-optimized SbAsC structure.

a = 3.116 Å, b = 3.283 Å, c = 6.221 Å
α = 90.00°, β = 90.00°, γ = 90.00°
Sites, in units of the cell vectors:
Sb 0.000 0.000 0.000
As 0.500 0.500 0.561
C 0.000 0.500 0.761

Computed properties:
- N(E_F): 1.2 states/eV per cell
- Energy above the most stable polymorph in this dataset: 154.5 meV per atom
- Raw formation energy: 0.68 eV per atom
- Size of the total moment: 0.000 Bohr magnetons per cell

***

(2)
The following is a DFT calculation (PBE) of a geometry-optimized Pm4SmY3 structure.

a = 12.025 Å, b = 12.025 Å, c = 6.859 Å
α = 106.21°, β = 106.21°, γ = 16.66°
Sites, in units of the cell vectors:
Pm 0.124 0.124 0.370
Pm 0.260 0.260 0.761
Pm 0.740 0.740 0.239
Pm 0.876 0.876 0.630
Sm 0.500 0.500 0.000
Y 0.000 0.000 0.500
Y 0.124 0.124 0.882
Y 0.876 0.876 0.118

Computed properties:
- N(E_F): 14.5 states/eV per cell
- Energy above the most stable polymorph in this dataset: 146.4 meV per atom
- Size of the total moment: 0.000 Bohr magnetons per cell
- Energy of formation: 1.34 eV per formula unit

***

(3)
The following is a DFT calculation (PBE) of a geometry-optimized Pr4Th3ScSe8 structure.

a = 8.424 Å, b = 8.424 Å, c = 8.424 Å
α = 59.65°, β = 59.65°, γ = 59.65°
Sites, in units of the cell vectors:
Pr 0.000 0.000 0.000
Pr 0.000 0.500 0.500
Pr 0.500 0.000 0.500
Pr 0.500 0.500 0.000
Th 0.000 0.000 0.500
Th 0.000 0.500 0.000
Th 0.500 0.000 0.000
Sc 0.500 0.500 0.500
Se 0.250 0.250 0.250
Se 0.259 0.739 0.739
Se 0.261 0.261 0.741
Se 0.261 0.741 0.261
Se 0.739 0.259 0.739
Se 0.739 0.739 0.259
Se 0.741 0.261 0.261
Se 0.750 0.750 0.750

Computed properties:
- N(E_F): 9.8 states/eV per cell
- Raw formation energy: -1.68 eV per atom
- Size of the total moment: 0.000 Bohr magnetons per cell

***

(4)
The following is a DFT calculation (PBE) of a geometry-optimized HfSi2SbRh structure.

a = 5.004 Å, b = 5.004 Å, c = 4.732 Å
α = 90.00°, β = 90.00°, γ = 90.00°
Sites, in units of the cell vectors:
Hf 0.000 0.000 0.000
Si 0.000 0.500 0.500
Si 0.500 0.000 0.500
Sb 0.500 0.500 0.500
Rh 0.500 0.500 0.000

Computed properties:
- N(E_F): 6.7 states/eV per cell
- Raw formation energy: 1.18 eV per atom
- Size of the total moment: 0.000 Bohr magnetons per cell

***

(5)
The following is a DFT calculation (PBE) of a geometry-optimized YFe3Se structure.

a = 4.443 Å, b = 4.443 Å, c = 4.443 Å
α = 90.00°, β = 90.00°, γ = 90.00°
Sites, in units of the cell vectors:
Y 0.000 0.000 0.000
Fe 0.000 0.500 0.500
Fe 0.500 0.000 0.500
Fe 0.500 0.500 0.000
Se 0.500 0.500 0.500

Computed properties:
- N(E_F): 8.0 states/eV per cell
- Energy above the most stable polymorph in this dataset: 0.0 meV per atom
- Raw formation energy: 0.23 eV per atom
- Size of the total moment: 5.313 Bohr magnetons per cell

***

(6)
The following is a DFT calculation (PBE) of a geometry-optimized CaAl2In2 structure.

a = 8.195 Å, b = 8.195 Å, c = 3.550 Å
α = 90.00°, β = 90.00°, γ = 90.00°
Sites, in units of the cell vectors:
Ca 0.000 0.000 0.000
Ca 0.500 0.500 0.000
Al 0.120 0.380 0.000
Al 0.380 0.880 0.000
Al 0.620 0.120 0.000
Al 0.880 0.620 0.000
In 0.175 0.675 0.500
In 0.325 0.175 0.500
In 0.675 0.825 0.500
In 0.825 0.325 0.500

Computed properties:
- N(E_F): 5.1 states/eV per cell
- Size of the total moment: 0.000 Bohr magnetons per cell
- Energy of formation: -0.33 eV per formula unit

***

(7)
The following is a DFT calculation (PBE) of a geometry-optimized TiCoTe2Pt structure.

a = 4.903 Å, b = 4.903 Å, c = 4.587 Å
α = 90.00°, β = 90.00°, γ = 90.00°
Sites, in units of the cell vectors:
Ti 0.000 0.000 0.000
Co 0.500 0.500 0.500
Te 0.000 0.500 0.500
Te 0.500 0.000 0.500
Pt 0.500 0.500 0.000

Computed properties:
- N(E_F): 9.4 states/eV per cell
- Raw formation energy: 0.53 eV per atom
- Size of the total moment: 0.000 Bohr magnetons per cell

***

(8)
The following is a DFT calculation (PBE) of a geometry-optimized Ba2Na5Tl12 structure.

a = 8.488 Å, b = 8.488 Å, c = 8.488 Å
α = 81.20°, β = 81.20°, γ = 81.20°
Sites, in units of the cell vectors:
Ba 0.149 0.149 0.149
Ba 0.851 0.851 0.851
Na 0.000 0.500 0.500
Na 0.402 0.402 0.402
Na 0.500 0.000 0.500
Na 0.500 0.500 0.000
Na 0.598 0.598 0.598
Tl 0.147 0.147 0.649
Tl 0.147 0.649 0.147
Tl 0.205 0.500 0.795
Tl 0.205 0.795 0.500
Tl 0.351 0.853 0.853
Tl 0.500 0.205 0.795
Tl 0.500 0.795 0.205
Tl 0.649 0.147 0.147
Tl 0.795 0.205 0.500
Tl 0.795 0.500 0.205
Tl 0.853 0.351 0.853
Tl 0.853 0.853 0.351

Computed properties:
- N(E_F): 10.5 states/eV per cell
- Size of the total moment: 0.000 Bohr magnetons per cell
- Energy of formation: -3.12 eV per formula unit

***

(9)
The following is a DFT calculation (PBE) of a geometry-optimized Ti2CuP structure.

a = 5.482 Å, b = 5.482 Å, c = 5.482 Å
α = 103.78°, β = 103.78°, γ = 121.57°
Sites, in units of the cell vectors:
Ti 0.113 0.625 0.988
Ti 0.375 0.363 0.488
Ti 0.637 0.125 0.012
Ti 0.875 0.887 0.512
Cu 0.250 0.750 0.500
Cu 0.500 0.500 0.000
P 0.000 0.000 0.000
P 0.750 0.250 0.500

Computed properties:
- N(E_F): 9.3 states/eV per cell
- Size of the total moment: 0.000 Bohr magnetons per cell
- Energy of formation: -1.03 eV per formula unit

***

(10)
The following is a DFT calculation (PBE) of a geometry-optimized TbTmSiAu structure.

a = 5.024 Å, b = 5.024 Å, c = 5.024 Å
α = 60.00°, β = 60.00°, γ = 60.00°
Sites, in units of the cell vectors:
Tb 0.000 0.000 0.000
Tm 0.500 0.500 0.500
Si 0.750 0.750 0.750
Au 0.250 0.250 0.250

Computed properties:
- N(E_F): 3.9 states/eV per cell
- Raw formation energy: -0.66 eV per atom
- Size of the total moment: 0.140 Bohr magnetons per cell

***

(11)
The following is a DFT calculation (PBE) of a geometry-optimized KInHg2Te4 structure.

a = 7.479 Å, b = 7.479 Å, c = 7.479 Å
α = 120.19°, β = 106.01°, γ = 102.79°
Sites, in units of the cell vectors:
K 0.000 0.000 0.000
In 0.500 0.500 0.000
Hg 0.321 0.821 0.500
Hg 0.679 0.179 0.500
Te 0.139 0.108 0.597
Te 0.488 0.892 0.031
Te 0.512 0.543 0.403
Te 0.861 0.457 0.969

Computed properties:
- Raw formation energy: -0.41 eV per atom
- Size of the total moment: 0.000 Bohr magnetons per cell

***

(12)
The following is a DFT calculation (PBE) of a geometry-optimized CaDyHg6 structure.

a = 4.673 Å, b = 4.673 Å, c = 9.169 Å
α = 90.00°, β = 90.00°, γ = 90.00°
Sites, in units of the cell vectors:
Ca 0.000 0.000 0.000
Dy 0.000 0.000 0.500
Hg 0.000 0.500 0.255
Hg 0.000 0.500 0.745
Hg 0.500 0.000 0.255
Hg 0.500 0.000 0.745
Hg 0.500 0.500 0.000
Hg 0.500 0.500 0.500

Computed properties:
- N(E_F): 4.7 states/eV per cell
- Energy above the most stable polymorph in this dataset: 21.3 meV per atom
- Size of the total moment: 0.000 Bohr magnetons per cell
- Energy of formation: -2.72 eV per formula unit